This record from Alexandria via LeMat-Bulk describes a relaxed structure of Ta3Ti2Ga4. The functional is PBE.

Summary:
raw total energy	-7.2531	eV/atom
SG	C2/c
DFT formation energy	-0.203	eV/atom
M_tot	0.00	μB per formula unit

Lattice parameters (Å, degrees): 5.149 7.807 7.807 74.05 87.39 87.39
Fractional positions:
Ta 0.100 0.021 0.193
Ta 0.400 0.807 0.979
Ta 0.900 0.979 0.807
Ta 0.600 0.193 0.021
Ta 0.250 0.561 0.439
Ta 0.750 0.439 0.561
Ti 0.620 0.164 0.383
Ti 0.880 0.617 0.836
Ti 0.380 0.836 0.617
Ti 0.120 0.383 0.164
Ga 0.565 0.867 0.283
Ga 0.935 0.717 0.133
Ga 0.435 0.133 0.717
Ga 0.065 0.283 0.867
Ga 0.103 0.175 0.483
Ga 0.397 0.517 0.825
Ga 0.897 0.825 0.517
Ga 0.603 0.483 0.175